(1)
As2HPbBr after structural relaxation, computed with PBE-GGA.

Structure (extended XYZ):
```
5
Lattice="5.638 0.000 0.000 0.000 5.638 0.000 0.000 0.000 5.925" Properties=species:S:1:pos:R:3 pbc="T T T"
H 2.819 2.819 2.962
Pb 0.000 0.000 0.000
Br 0.000 0.000 2.962
As 2.819 0.000 0.000
As 0.000 2.819 0.000
```

Computed properties:
calculated density: 3.86 g/cm³
E_tot: -12.75 eV/cell
spin magnetization: 3.8 Bohr magnetons per cell
SG: P4/mmm (123)



(2)
P2PbOF after structural relaxation, computed with PBE-GGA.

Structure (extended XYZ):
```
5
Lattice="-3.725 -1.767 0.141 1.414 -3.159 -2.244 1.628 -3.010 5.263" Properties=species:S:1:pos:R:3 pbc="T T T"
Pb -0.341 -3.968 1.580
P 0.707 -1.580 -1.122
P -1.862 -0.884 0.071
F 0.000 0.000 0.000
O 0.814 -1.505 2.631
```

Computed properties:
E_form (uncorrected): 0.4330 eV per atom
calculated density: 4.73 g/cm³
spin magnetization: 0.0 Bohr magnetons per cell
SG: P4/mmm (123)



(3)
Sc12FeSn6 after structural relaxation, computed with PBE-GGA.

Structure (extended XYZ):
```
19
Lattice="-0.666 -3.132 7.094 7.754 0.297 0.603 -0.733 7.204 2.855" Properties=species:S:1:pos:R:3 pbc="T T T"
Sc 7.203 -0.029 2.977
Sc 5.420 2.978 5.319
Sc 6.539 5.181 2.802
Sc -0.183 -0.811 7.750
Sc 1.582 6.754 3.554
Sn 0.953 1.943 8.154
Sc 3.613 0.936 7.253
Sc 2.528 4.035 6.623
Sn 6.139 0.121 5.785
Sn 5.402 2.427 2.398
Sc 3.827 0.334 3.929
Sc -0.848 4.399 7.575
Sn 0.216 4.249 4.767
Sn 2.221 -1.286 5.851
Sc 2.743 3.434 3.299
Sn 4.134 5.655 4.701
Sc 4.774 -2.385 6.998
Sc 0.935 1.392 5.233
Fe 0.000 0.000 0.000
```

Computed properties:
calculated density: 4.61 g/cm³
energy of formation from the pure elements: -35.1 kJ per mole of atoms
spin magnetization: 0.0 Bohr magnetons per cell
SG: R-3 (148)



(4)
Ho2ZnTcC after structural relaxation, computed with PBE-GGA.

Structure (extended XYZ):
```
5
Lattice="-2.439 -1.174 2.899 2.413 -4.260 0.306 3.023 1.952 3.333" Properties=species:S:1:pos:R:3 pbc="T T T"
C 0.000 0.000 0.000
Ho 1.512 0.976 1.667
Ho 1.207 -2.130 0.153
Tc -1.219 -0.587 1.450
Zn 1.499 -1.741 3.269
```

Computed properties:
calculated density: 8.79 g/cm³
energy of formation from the pure elements: -29.9 kJ per mole of atoms
spin magnetization: 0.0 Bohr magnetons per cell
SG: P4/mmm (123)



(5)
Co2TcMo after structural relaxation, computed with PBE-GGA.

Structure (extended XYZ):
```
4
Lattice="8.684 0.003 0.001 8.279 2.620 0.001 8.279 1.280 2.286" Properties=species:S:1:pos:R:3 pbc="T T T"
Tc 18.931 2.927 1.717
Co 12.581 1.945 1.141
Co 0.040 0.006 0.004
Mo 6.310 0.976 0.572
```

Computed properties:
calculated density: 9.97 g/cm³
energy of formation from the pure elements: 21.2 kJ per mole of atoms
spin magnetization: 0.0 Bohr magnetons per cell
SG: R-3m (166)



(6)
LaPm5Y4 after structural relaxation, computed with PBE-GGA.

Structure (extended XYZ):
```
10
Lattice="3.640 0.000 0.000 0.000 3.640 0.000 0.000 0.000 25.527" Properties=species:S:1:pos:R:3 pbc="T T T"
Pm 1.820 1.820 12.764
Pm 1.820 1.820 7.709
Y 0.000 0.000 20.347
La 0.000 0.000 0.000
Y 0.000 0.000 10.236
Pm 1.820 1.820 17.818
Y 0.000 0.000 15.291
Pm 1.820 1.820 22.892
Y 0.000 0.000 5.180
Pm 1.820 1.820 2.636
```

Computed properties:
calculated density: 5.99 g/cm³
energy of formation from the pure elements: 1.7 kJ per mole of atoms
spin magnetization: 0.0 Bohr magnetons per cell
SG: P4/mmm (123)



(7)
VCoPd4 after structural relaxation, computed with PBE-GGA.

Structure (extended XYZ):
```
12
Lattice="4.463 -0.068 0.022 0.073 5.054 1.889 -0.036 -0.056 7.858" Properties=species:S:1:pos:R:3 pbc="T T T"
Pd 1.110 0.977 5.064
Pd 3.360 2.926 7.442
Pd 1.139 2.003 2.327
Co 3.394 3.478 2.133
V 3.358 0.948 1.196
Co 1.105 1.452 7.636
Pd 1.173 4.517 3.266
V 1.141 3.981 8.573
Pd 3.326 0.413 6.503
Pd 3.389 3.952 4.705
Pd 1.144 3.496 6.006
Pd 3.355 1.433 3.763
```

Computed properties:
calculated density: 10.01 g/cm³
energy of formation from the pure elements: -4.1 kJ per mole of atoms
spin magnetization: 3.0 Bohr magnetons per cell
SG: Cmcm (63)



(8)
ZnRuW after structural relaxation, computed with PBE-GGA.

Structure (extended XYZ):
```
6
Lattice="-0.872 1.951 -2.294 2.093 -1.325 -1.922 -6.251 -5.963 -2.696" Properties=species:S:1:pos:R:3 pbc="T T T"
W -4.630 -6.077 -3.409
Ru -0.515 -2.151 -1.634
Ru -5.126 -3.498 -3.169
W -1.011 0.427 -1.395
Zn -2.554 -4.097 -2.514
Zn -3.087 -1.553 -2.290
```

Computed properties:
calculated density: 13.08 g/cm³
energy of formation from the pure elements: -5.2 kJ per mole of atoms
spin magnetization: 0.0 Bohr magnetons per cell
SG: P4/nmm (129)